Computed, not measured: a relaxed MnAlZn2Ga crystal at the PBE-GGA level of DFT.

```
MnAlZn2Ga
1.0
4.713 0.000 0.000
0.000 5.052 0.000
0.000 0.000 4.713
Mn Al Zn Ga
1 1 2 1
direct
0.500 0.500 0.500 Mn
0.000 0.500 0.000 Al
0.500 0.000 0.000 Zn
0.000 0.000 0.500 Zn
0.000 0.000 0.000 Ga
```

Properties
spin magnetization = 4.4 μB/f.u.
total DFT energy (no corrections) = -14.9 eV for the cell shown
space group = P4/mmm (123)
DFT formation energy = 0.72 eV/atom

Computed, not measured: a relaxed Al3Ga2Mo crystal at the PBE-GGA level of DFT.

```
Al3Ga2Mo
1.0
-4.734 0.659 2.046
2.947 -4.012 1.503
3.442 4.919 6.381
Al Mo Ga
6 2 4
direct
0.332 0.166 0.750 Al
0.166 0.332 0.250 Al
0.834 0.166 0.750 Al
0.166 0.834 0.250 Al
0.834 0.668 0.750 Al
0.668 0.834 0.250 Al
0.000 0.000 0.000 Mo
0.000 0.000 0.500 Mo
0.667 0.333 0.460 Ga
0.333 0.667 0.540 Ga
0.667 0.333 0.040 Ga
0.333 0.667 0.960 Ga
```

Properties
spin magnetization = 0.0 μB/f.u.
total DFT energy (no corrections) = -55.2 eV for the cell shown
space group = P6_3/mmc (194)
DFT formation energy = 0.09 eV/atom

Computed, not measured: a relaxed AlGa3Mo crystal at the PBE-GGA level of DFT.

```
AlGa3Mo
1.0
-1.883 4.004 -1.963
-1.843 -2.639 -3.615
-4.061 -0.659 2.551
Al Ga Mo
1 3 1
direct
0.000 0.000 0.000 Al
0.000 0.500 0.000 Ga
0.500 0.000 0.000 Ga
0.000 0.000 0.500 Ga
0.500 0.500 0.500 Mo
```

Properties
spin magnetization = 4.1 μB/f.u.
polymorph energy (0 for the lowest one) = 0.989 eV per atom
total DFT energy (no corrections) = -18.5 eV for the cell shown
space group = Pm-3m (221)
DFT formation energy = 1.03 eV/atom

Computed, not measured: a relaxed Al2GaMo2 crystal at the PBE-GGA level of DFT.

```
Al2GaMo2
1.0
-5.178 -2.517 -3.357
1.877 -6.159 1.723
-2.092 0.219 3.063
Ga Al Mo
2 4 4
direct
0.000 0.000 0.000 Ga
0.500 0.500 0.000 Ga
0.655 0.845 0.500 Al
0.155 0.655 0.500 Al
0.845 0.345 0.500 Al
0.345 0.155 0.500 Al
0.643 0.143 0.000 Mo
0.143 0.357 0.000 Mo
0.357 0.857 0.000 Mo
0.857 0.643 0.000 Mo
```

Properties
spin magnetization = 0.0 μB/f.u.
polymorph energy (0 for the lowest one) = 0.000 eV per atom
total DFT energy (no corrections) = -64.8 eV for the cell shown
space group = P4/mbm (127)
DFT formation energy = -0.05 eV/atom

Computed, not measured: a relaxed Al6GaMo crystal at the PBE-GGA level of DFT.

```
Al6GaMo
1.0
4.574 0.620 0.005
0.962 4.515 0.005
1.560 1.447 7.171
Al Ga Mo
6 1 1
direct
0.450 0.943 0.704 Al
0.943 0.450 0.704 Al
0.057 0.550 0.296 Al
0.550 0.057 0.296 Al
0.646 0.646 0.049 Al
0.354 0.354 0.951 Al
0.500 0.500 0.500 Ga
0.000 0.000 0.000 Mo
```

Properties
spin magnetization = 0.0 μB/f.u.
total DFT energy (no corrections) = -35.4 eV for the cell shown
space group = C2/m (12)
DFT formation energy = 0.11 eV/atom

Computed, not measured: a relaxed Al6Ga2Mo crystal at the PBE-GGA level of DFT.

```
Al6Ga2Mo
1.0
6.248 0.000 0.000
0.000 6.248 0.000
0.000 0.000 9.992
Al Ga Mo
12 4 2
direct
0.760 0.240 0.369 Al
0.709 0.709 0.500 Al
0.209 0.791 0.000 Al
0.740 0.740 0.131 Al
0.760 0.240 0.631 Al
0.260 0.260 0.869 Al
0.260 0.260 0.131 Al
0.240 0.760 0.631 Al
0.240 0.760 0.369 Al
0.791 0.209 0.000 Al
0.291 0.291 0.500 Al
0.740 0.740 0.869 Al
0.000 0.000 0.782 Ga
0.000 0.000 0.218 Ga
0.500 0.500 0.282 Ga
0.500 0.500 0.718 Ga
0.500 0.500 0.000 Mo
0.000 0.000 0.500 Mo
```

Properties
spin magnetization = 0.0 μB/f.u.
total DFT energy (no corrections) = -72.5 eV for the cell shown
space group = P4_2/mnm (136)
DFT formation energy = 0.34 eV/atom

Computed, not measured: a relaxed AlGa2Mo crystal at the PBE-GGA level of DFT.

```
AlGa2Mo
1.0
-1.061 -1.655 -2.059
1.505 -0.463 -2.372
4.317 -8.582 2.706
Al Ga Mo
1 2 1
direct
0.000 0.000 0.000 Al
0.091 0.091 0.726 Ga
0.909 0.909 0.274 Ga
0.500 0.500 0.500 Mo
```

Properties
spin magnetization = 0.0 μB/f.u.
total DFT energy (no corrections) = -20.3 eV for the cell shown
space group = R-3m (166)
DFT formation energy = 0.08 eV/atom

Computed, not measured: a relaxed Al4Ga3Mo crystal at the PBE-GGA level of DFT.

```
Al4Ga3Mo
1.0
5.354 0.000 0.000
0.000 9.468 0.000
0.000 0.000 5.378
Ga Mo Al
6 2 8
direct
0.626 0.360 0.257 Ga
0.626 0.360 0.743 Ga
0.628 0.904 0.000 Ga
0.128 0.096 0.500 Ga
0.126 0.640 0.757 Ga
0.126 0.640 0.243 Ga
0.380 0.838 0.500 Mo
0.880 0.162 0.000 Mo
0.622 0.638 0.244 Al
0.122 0.362 0.744 Al
0.622 0.638 0.756 Al
0.633 0.097 0.500 Al
0.878 0.849 0.500 Al
0.133 0.903 0.000 Al
0.378 0.151 0.000 Al
0.122 0.362 0.256 Al
```

Properties
spin magnetization = 0.0 μB/f.u.
total DFT energy (no corrections) = -70.3 eV for the cell shown
space group = Pmn2_1 (31)
DFT formation energy = -0.04 eV/atom

Computed, not measured: a relaxed AlGaMo3 crystal at the PBE-GGA level of DFT.

```
AlGaMo3
1.0
4.585 0.000 0.000
0.000 4.585 0.000
0.000 0.000 4.585
Ga Mo Al
1 3 1
direct
0.000 0.000 0.000 Ga
0.000 0.000 0.500 Mo
0.500 0.000 0.000 Mo
0.000 0.500 0.000 Mo
0.500 0.500 0.500 Al
```

Properties
spin magnetization = 0.0 μB/f.u.
polymorph energy (0 for the lowest one) = 0.000 eV per atom
total DFT energy (no corrections) = -32.4 eV for the cell shown
space group = Pm-3m (221)
DFT formation energy = 1.37 eV/atom

Computed, not measured: a relaxed AlGa2Mo crystal at the PBE-GGA level of DFT.

```
AlGa2Mo
1.0
7.201 0.000 0.000
0.000 7.201 0.000
3.600 3.600 2.629
Ga Al Mo
4 2 2
direct
0.875 0.875 0.750 Ga
0.375 0.375 0.750 Ga
0.625 0.125 0.250 Ga
0.125 0.625 0.250 Ga
0.500 0.500 0.000 Al
0.250 0.750 0.500 Al
0.750 0.250 0.500 Mo
0.000 0.000 0.000 Mo
```

Properties
spin magnetization = 0.0 μB/f.u.
total DFT energy (no corrections) = -38.5 eV for the cell shown
space group = I-42d (122)
DFT formation energy = 0.35 eV/atom

Computed, not measured: a relaxed AlGa8Mo2 crystal at the PBE-GGA level of DFT.

```
AlGa8Mo2
1.0
-4.554 2.327 -1.011
-1.065 -4.445 5.333
1.669 1.482 6.660
Ga Al Mo
8 1 2
direct
0.167 0.398 0.398 Ga
0.376 0.797 0.383 Ga
0.376 0.383 0.797 Ga
0.624 0.203 0.617 Ga
0.624 0.617 0.203 Ga
0.833 0.602 0.602 Ga
0.178 0.810 0.810 Ga
0.822 0.190 0.190 Ga
0.000 0.000 0.000 Al
0.347 0.216 0.216 Mo
0.653 0.784 0.784 Mo
```

Properties
spin magnetization = 0.0 μB/f.u.
total DFT energy (no corrections) = -49.0 eV for the cell shown
space group = C2/m (12)
DFT formation energy = 0.06 eV/atom

Computed, not measured: a relaxed AlGa4Mo crystal at the PBE-GGA level of DFT.

```
AlGa4Mo
1.0
5.284 0.000 0.000
0.000 5.284 0.000
-2.642 -2.642 8.693
Al Ga Mo
2 8 2
direct
0.750 0.250 0.500 Al
0.000 0.000 0.000 Al
0.121 0.377 0.242 Ga
0.623 0.879 0.758 Ga
0.629 0.873 0.258 Ga
0.121 0.865 0.242 Ga
0.127 0.371 0.742 Ga
0.629 0.385 0.258 Ga
0.615 0.371 0.742 Ga
0.135 0.879 0.758 Ga
0.500 0.500 0.000 Mo
0.250 0.750 0.500 Mo
```

Properties
spin magnetization = 1.2 μB/f.u.
total DFT energy (no corrections) = -46.8 eV for the cell shown
space group = I4_1/amd (141)
DFT formation energy = 0.55 eV/atom